Record 1
The following is a DFT calculation (PBE-GGA) of an optimized crystal structure of KScCl2.

Calculated values
* energy relative to the lowest polymorph listed for this composition: 149 meV per atom
* VASP energy: -4.03 eV/atom
* symmetry: Cmmm, No. 65

Cell lengths 3.9489, 3.9489, 8.9343 Å; angles 90.00, 90.00, 126.90 degrees
Last column: nearest neighbours and their distance in Å.
Positions (direct):
Sc (0.5000, 0.5000, 0.7500)  4 Cl 2.64
K (0.5000, 0.5000, 0.2500)  4 Cl 3.07
Cl (0.0000, 0.0000, 0.9691)  2 Sc 2.64
Cl (0.0000, 0.0000, 0.5309)  2 Sc 2.64

---

Record 2
The following is a DFT calculation (PBE-GGA) of an optimized crystal structure of KSc2Cl.

Calculated values
* energy relative to the lowest polymorph listed for this composition: 320 meV per atom
* VASP energy: -4.16 eV/atom
* symmetry: Cm, No. 8

Cell lengths 5.6385, 5.6385, 7.7336 Å; angles 67.19, 67.19, 33.57 degrees
Last column: nearest neighbours and their distance in Å.
Positions (direct):
Sc (0.9426, 0.9426, 0.0687)  5 Sc 3.14-3.26
Sc (0.1653, 0.1653, 0.2328)  2 Cl 2.64
K (0.8083, 0.8083, 0.6727)  3 Cl 3.07-3.17, 2 K 3.26
Cl (0.5838, 0.5838, 0.5258)  2 Sc 2.64

---

Record 3
The following is a DFT calculation (PBE-GGA) of an optimized crystal structure of KScCl4.

Calculated values
* energy relative to the lowest polymorph listed for this composition: 29 meV per atom
* VASP energy: -4.51 eV/atom
* symmetry: C2/m, No. 12

Cell lengths 3.8831, 6.6331, 7.8958 Å; angles 106.12, 90.00, 107.05 degrees
Last column: nearest neighbours and their distance in Å.
Positions (direct):
K (0.5000, 0.9999, 0.5000)  6 Cl 3.10-3.25
Sc (0.0000, 0.0000, 0.0000)  6 Cl 2.44-2.58
Cl (0.8827, 0.7662, 0.6933)  1 Sc 2.44
Cl (0.1172, 0.2337, 0.3067)  1 Sc 2.44
Cl (0.3870, 0.7742, 0.0736)  2 Sc 2.58
Cl (0.6130, 0.2258, 0.9263)  2 Sc 2.58

---

Record 4
The following is a DFT calculation (PBE-GGA) of an optimized crystal structure of KSc3Cl.

Calculated values
* energy relative to the lowest polymorph listed for this composition: 1311 meV per atom
* VASP energy: -2.94 eV/atom
* symmetry: Pm-3m, No. 221

Cell lengths 5.3403, 5.3403, 5.3403 Å; angles 90.00, 90.00, 90.00 degrees
Last column: nearest neighbours and their distance in Å.
Positions (direct):
Sc (0.0000, 0.5000, 0.0000)  2 K 2.67
Sc (0.0000, 0.0000, 0.5000)  2 K 2.67
Sc (0.5000, 0.0000, 0.0000)  2 K 2.67
K (0.0000, 0.0000, 0.0000)  6 Sc 2.67
Cl (0.5000, 0.5000, 0.5000)  12 Sc 3.78

---

Record 5
The following is a DFT calculation (PBE-GGA) of an optimized crystal structure of KScCl2.

Calculated values
* energy relative to the lowest polymorph listed for this composition: 203 meV per atom
* VASP energy: -3.97 eV/atom
* symmetry: I-42d, No. 122

Cell lengths 6.5137, 6.5137, 7.9614 Å; angles 65.85, 65.85, 90.00 degrees
Last column: nearest neighbours and their distance in Å.
Positions (direct):
Sc (0.0000, 0.0000, 0.0000)  4 Cl 2.56
Sc (0.7500, 0.2500, 0.5000)  4 Cl 2.56
K (0.5000, 0.5000, 0.0000)  4 Cl 3.13
K (0.2500, 0.7500, 0.5000)  4 Cl 3.13
Cl (0.7006, 0.1250, 0.2500)  2 Sc 2.56
Cl (0.0494, 0.6250, 0.2500)  2 Sc 2.56
Cl (0.3750, 0.2994, 0.7500)  2 Sc 2.56
Cl (0.8750, 0.9506, 0.7500)  2 Sc 2.56

---

Record 6
The following is a DFT calculation (PBE-GGA) of an optimized crystal structure of K2ScCl.

Calculated values
* energy relative to the lowest polymorph listed for this composition: 419 meV per atom
* VASP energy: -2.67 eV/atom
* symmetry: Pmmm, No. 47

Cell lengths 6.2590, 6.4023, 3.9162 Å; angles 90.00, 90.00, 90.00 degrees
Last column: nearest neighbours and their distance in Å.
Positions (direct):
Sc (0.5000, 0.0000, 0.5000)  8 K 3.69-3.75, 2 Sc 3.92
K (0.0000, 0.0000, 0.0000)  4 Sc 3.69, 4 Cl 3.75, 2 K 3.92
K (0.5000, 0.5000, 0.0000)  4 Cl 3.69, 4 Sc 3.75, 2 K 3.92
Cl (0.0000, 0.5000, 0.5000)  8 K 3.69-3.75, 2 Cl 3.92

---

| no. | ΔE_f (raw) (meV per atom) |
| --- | --- |
| 1 | -1246.3 |
| 2 | -262.3 |
| 3 | -2042.5 |
| 4 | 1443.6 |
| 5 | -1193.0 |
| 6 | -80.8 |